Record 1
Compound: Ca12Be17O29
Source: Alexandria
Functional: PBEsol
Structure: relaxed

Structure (CIF):
```
data_Ca12Be17O29
_space_group_name_H-M_alt 'F -4 3 m'
_space_group_IT_number 216
_space_group_name_Hall 'F -4 2 3'
_cell_length_a 13.950
_cell_length_b 13.950
_cell_length_c 13.950
_cell_angle_alpha 90.00
_cell_angle_beta 90.00
_cell_angle_gamma 90.00
loop_
_atom_site_label
_atom_site_type_symbol
_atom_site_fract_x
_atom_site_fract_y
_atom_site_fract_z
Ca1 Ca 0.000 0.000 0.206
Ca2 Ca 0.004 0.250 0.250
Be1 Be 0.000 0.000 0.000
Be2 Be 0.137 0.137 0.137
Be3 Be 0.157 0.157 0.657
Be4 Be 0.158 0.158 0.342
Be5 Be 0.174 0.174 0.826
O1 O 0.069 0.069 0.069
O2 O 0.113 0.113 0.749
O3 O 0.114 0.114 0.251
O4 O 0.250 0.250 0.750
```

Values from the calculation:
Volume, Å³ per atom: 11.7
Density of states at the Fermi level, states/eV/atom: 0.000
Total magnetization, Bohr magnetons per cell: 0.0
DFT total energy, eV per formula unit: -411.25
Energy relative to the elements, uncorrected, eV/atom: -2.852
Density, kg/m3: 2687

***

Record 2
Compound: ScRe4Ir
Source: Alexandria
Functional: PBEsol
Structure: relaxed

Structure (CIF):
```
data_ScRe4Ir
_space_group_name_H-M_alt 'F -4 3 m'
_space_group_IT_number 216
_space_group_name_Hall 'F -4 2 3'
_cell_length_a 7.264
_cell_length_b 7.264
_cell_length_c 7.264
_cell_angle_alpha 90.00
_cell_angle_beta 90.00
_cell_angle_gamma 90.00
loop_
_atom_site_label
_atom_site_type_symbol
_atom_site_fract_x
_atom_site_fract_y
_atom_site_fract_z
Sc1 Sc 0.000 0.000 0.000
Re1 Re 0.125 0.125 0.625
Ir1 Ir 0.250 0.250 0.250
```

Values from the calculation:
Formation enthalpy at 0 K, eV per atom: 0.1393
Volume, Å³ per atom: 16.0
Density of states at the Fermi level, states/eV/atom: 1.123
Total magnetization, Bohr magnetons per cell: 0.0
DFT total energy, eV per formula unit: -68.92
Density, kg/m3: 17019

***

Record 3
Compound: TaIr2IN
Source: Alexandria
Functional: PBEsol
Structure: relaxed

Structure (CIF):
```
data_TaIr2IN
_space_group_name_H-M_alt 'P 4/m m m'
_space_group_IT_number 123
_space_group_name_Hall '-P 4 2'
_cell_length_a 4.886
_cell_length_b 4.886
_cell_length_c 3.792
_cell_angle_alpha 90.00
_cell_angle_beta 90.00
_cell_angle_gamma 90.00
loop_
_atom_site_label
_atom_site_type_symbol
_atom_site_fract_x
_atom_site_fract_y
_atom_site_fract_z
Ta1 Ta 0.000 0.000 0.000
Ir1 Ir 0.000 0.500 0.500
I1 I 0.500 0.500 0.500
N1 N 0.500 0.500 0.000
```

Values from the calculation:
Volume, Å³ per atom: 18.1
Density of states at the Fermi level, states/eV/atom: 0.960
Total magnetization, Bohr magnetons per cell: 0.0
DFT total energy, eV per formula unit: -31.83
Energy relative to the elements, uncorrected, eV/atom: 2.131
Density, kg/m3: 12953

***

Record 4
Compound: BaRu2Pt
Source: Alexandria
Functional: PBEsol
Structure: relaxed

Structure (CIF):
```
data_BaRu2Pt
_space_group_name_H-M_alt 'P 4 m m'
_space_group_IT_number 99
_space_group_name_Hall 'P 4 -2'
_cell_length_a 3.120
_cell_length_b 3.120
_cell_length_c 7.852
_cell_angle_alpha 90.00
_cell_angle_beta 90.00
_cell_angle_gamma 90.00
loop_
_atom_site_label
_atom_site_type_symbol
_atom_site_fract_x
_atom_site_fract_y
_atom_site_fract_z
Ba1 Ba 0.000 0.000 0.000
Ru1 Ru 0.000 0.000 0.514
Ru2 Ru 0.500 0.500 0.668
Pt1 Pt 0.500 0.500 0.305
```

Values from the calculation:
Formation enthalpy at 0 K, eV per atom: 0.4272
Volume, Å³ per atom: 19.1
Energy above the most stable polymorph in this dataset, meV/atom: 177
Density of states at the Fermi level, states/eV/atom: 0.949
Total magnetization, Bohr magnetons per cell: 0.0
DFT total energy, eV per formula unit: -27.75
Density, kg/m3: 11610

***

Record 5
Compound: Cd4Ag
Source: Alexandria
Functional: PBEsol
Structure: relaxed

Structure (CIF):
```
data_Cd4Ag
_space_group_name_H-M_alt 'I 4/m m m'
_space_group_IT_number 139
_space_group_name_Hall '-I 4 2'
_cell_length_a 3.036
_cell_length_b 3.036
_cell_length_c 21.210
_cell_angle_alpha 90.00
_cell_angle_beta 90.00
_cell_angle_gamma 90.00
loop_
_atom_site_label
_atom_site_type_symbol
_atom_site_fract_x
_atom_site_fract_y
_atom_site_fract_z
Cd1 Cd 0.000 0.000 0.094
Cd2 Cd 0.000 0.000 0.302
Ag1 Ag 0.000 0.000 0.500
```

Values from the calculation:
Formation enthalpy at 0 K, eV per atom: -0.0091
Volume, Å³ per atom: 19.6
Energy above the most stable polymorph in this dataset, meV/atom: 4
Density of states at the Fermi level, states/eV/atom: 0.362
Total magnetization, Bohr magnetons per cell: 0.0
DFT total energy, eV per formula unit: -8.14
Density, kg/m3: 9470

***

Record 6
Compound: LiMn2NiO6
Source: Alexandria
Functional: PBEsol
Structure: relaxed

Structure (CIF):
```
data_LiMn2NiO6
_space_group_name_H-M_alt 'C 1 2/c 1'
_space_group_IT_number 15
_space_group_name_Hall '-C 2yc'
_cell_length_a 8.540
_cell_length_b 4.855
_cell_length_c 10.341
_cell_angle_alpha 90.00
_cell_angle_beta 99.83
_cell_angle_gamma 90.00
loop_
_atom_site_label
_atom_site_type_symbol
_atom_site_fract_x
_atom_site_fract_y
_atom_site_fract_z
Li1 Li 0.000 0.129 0.250
Mn1 Mn 0.084 0.248 0.998
Ni1 Ni 0.250 0.250 0.500
O1 O 0.063 0.409 0.404
O2 O 0.089 0.066 0.604
O3 O 0.230 0.080 0.905
```

Values from the calculation:
Volume, Å³ per atom: 10.6
Energy above the most stable polymorph in this dataset, meV/atom: 0
Density of states at the Fermi level, states/eV/atom: 0.017
Total magnetization, Bohr magnetons per cell: 28.0
DFT total energy, eV per formula unit: -74.11
Energy relative to the elements, uncorrected, eV/atom: -1.497
Density, kg/m3: 4269

***

Record 7
Compound: Ti3O4
Source: Alexandria
Functional: PBEsol
Structure: relaxed

Structure (CIF):
```
data_Ti3O4
_space_group_name_H-M_alt 'I 4/m m m'
_space_group_IT_number 139
_space_group_name_Hall '-I 4 2'
_cell_length_a 4.107
_cell_length_b 4.107
_cell_length_c 8.112
_cell_angle_alpha 90.00
_cell_angle_beta 90.00
_cell_angle_gamma 90.00
loop_
_atom_site_label
_atom_site_type_symbol
_atom_site_fract_x
_atom_site_fract_y
_atom_site_fract_z
Ti1 Ti 0.000 0.000 0.000
Ti2 Ti 0.000 0.500 0.250
O1 O 0.000 0.000 0.258
O2 O 0.000 0.500 0.000
```

Values from the calculation:
Volume, Å³ per atom: 9.8
Energy above the most stable polymorph in this dataset, meV/atom: 0
Density of states at the Fermi level, states/eV/atom: 0.265
Total magnetization, Bohr magnetons per cell: 0.0
DFT total energy, eV per formula unit: -66.00
Energy relative to the elements, uncorrected, eV/atom: -2.862
Density, kg/m3: 5038

***

Record 8
Compound: YSbW2
Source: Alexandria
Functional: PBEsol
Structure: relaxed

Structure (CIF):
```
data_YSbW2
_space_group_name_H-M_alt 'C 1 m 1'
_space_group_IT_number 8
_space_group_name_Hall 'C -2y'
_cell_length_a 8.504
_cell_length_b 3.327
_cell_length_c 6.182
_cell_angle_alpha 90.00
_cell_angle_beta 100.98
_cell_angle_gamma 90.00
loop_
_atom_site_label
_atom_site_type_symbol
_atom_site_fract_x
_atom_site_fract_y
_atom_site_fract_z
Y1 Y 0.000 0.000 0.000
Sb1 Sb 0.230 0.000 0.685
W1 W 0.255 0.500 0.314
W2 W 0.482 0.000 0.457
```

Values from the calculation:
Volume, Å³ per atom: 21.5
Density of states at the Fermi level, states/eV/atom: 0.429
Total magnetization, Bohr magnetons per cell: 0.0
DFT total energy, eV per formula unit: -37.73
Energy relative to the elements, uncorrected, eV/atom: 0.317
Density, kg/m3: 11187

***

Record 9
Compound: Ba3Cr2O8
Source: Alexandria
Functional: PBEsol
Structure: relaxed

Structure (CIF):
```
data_Ba3Cr2O8
_space_group_name_H-M_alt 'R -3 m'
_space_group_IT_number 166
_space_group_name_Hall '-R 3 2"'
_cell_length_a 5.7065
_cell_length_b 5.7065
_cell_length_c 21.3619
_cell_angle_alpha 90.00
_cell_angle_beta 90.00
_cell_angle_gamma 120.00
loop_
_atom_site_label
_atom_site_type_symbol
_atom_site_fract_x
_atom_site_fract_y
_atom_site_fract_z
Ba1 Ba 0.0000 0.0000 0.0000
Ba2 Ba 0.0000 0.0000 0.2061
Cr1 Cr 0.0000 0.0000 0.4073
O1 O 0.0000 0.0000 0.3284
O2 O 0.0097 0.5049 0.2318
```

Values from the calculation:
Volume, Å³ per atom: 15.4
Density of states at the Fermi level, states/eV/atom: 0.710
Total magnetization, Bohr magnetons per cell: 6.0
DFT total energy, eV per formula unit: -101.36
Energy relative to the elements, uncorrected, eV/atom: -2.495
Density, kg/m3: 5325

***

Record 10
Compound: Y3SbO7
Source: Alexandria
Functional: PBEsol
Structure: relaxed

Structure (CIF):
```
data_Y3SbO7
_space_group_name_H-M_alt 'C m c m'
_space_group_IT_number 63
_space_group_name_Hall '-C 2c 2'
_cell_length_a 7.385
_cell_length_b 10.455
_cell_length_c 7.445
_cell_angle_alpha 90.00
_cell_angle_beta 90.00
_cell_angle_gamma 90.00
loop_
_atom_site_label
_atom_site_type_symbol
_atom_site_fract_x
_atom_site_fract_y
_atom_site_fract_z
Y1 Y 0.000 0.000 0.000
Y2 Y 0.234 0.266 0.250
Sb1 Sb 0.000 0.500 0.000
O1 O 0.000 0.130 0.750
O2 O 0.000 0.137 0.250
O3 O 0.000 0.429 0.250
O4 O 0.199 0.375 0.530
```

Values from the calculation:
Volume, Å³ per atom: 13.1
Density of states at the Fermi level, states/eV/atom: 0.000
Total magnetization, Bohr magnetons per cell: 0.0
DFT total energy, eV per formula unit: -95.17
Energy relative to the elements, uncorrected, eV/atom: -3.037
Density, kg/m3: 5783